This record from the Alexandria database describes an optimized crystal structure of NbMoF2. The functional is PBE with a Hubbard U.

Energy above the lowest structure with this stoichiometry: 518 meV per atom
Electronic total energy: -5.41 eV/atom
D(E_F): 3.7 states/eV/f.u.

```
data_NbMoF2
_chemical_formula_sum 'Nb4 Mo4 F8'
_space_group_name_H-M_alt 'F m -3 m'
_space_group_IT_number 225
_space_group_name_Hall '-F 4 2 3'
_cell_length_a 6.199
_cell_length_b 6.199
_cell_length_c 6.199
_cell_angle_alpha 90.00
_cell_angle_beta 90.00
_cell_angle_gamma 90.00
loop_
_atom_site_label
_atom_site_type_symbol
_atom_site_fract_x
_atom_site_fract_y
_atom_site_fract_z
_atom_site_occupancy
Nb1 Nb 0.000 0.000 0.000 1
Mo1 Mo 0.000 0.000 0.500 1
F1 F 0.250 0.250 0.250 1
```